# 1
The following is a PBE-GGA calculation of crystalline Li4Ag2Sn3 at its relaxed geometry, from Alexandria via LeMat-Bulk.

Properties
The density of states at the Fermi level comes out at 1.67 states/eV/cell. Its symmetry is No. 2. The uncorrected energy comes out at -3.09 eV/atom. The calculation puts the formation energy at -0.274 eV per atom.

```
Li4Ag2Sn3
1.0
4.906 0.000 0.000
2.449 4.528 0.000
0.554 1.388 7.740
Li Ag Sn
4 2 3
direct
0.159 0.268 0.163 Li
0.324 0.850 0.509 Li
0.676 0.150 0.491 Li
0.841 0.732 0.837 Li
0.188 0.036 0.841 Ag
0.812 0.964 0.159 Ag
0.000 0.500 0.500 Sn
0.484 0.612 0.178 Sn
0.516 0.388 0.822 Sn
```



# 2
The following is a PBE-GGA calculation of crystalline LiAg4Sn4 at its relaxed geometry, from Alexandria via LeMat-Bulk.

Properties
The density of states at the Fermi level comes out at 3.07 states/eV/cell. Its symmetry is No. 87. The uncorrected energy comes out at -3.23 eV/atom. The calculation puts the formation energy at 0.030 eV per atom.

```
LiAg4Sn4
1.0
-4.350 4.350 2.713
4.350 -4.350 2.713
4.350 4.350 -2.713
Li Ag Sn
1 4 4
direct
0.000 0.000 0.000 Li
0.291 0.411 0.701 Ag
0.411 0.709 0.120 Ag
0.589 0.291 0.880 Ag
0.709 0.589 0.299 Ag
0.070 0.662 0.732 Sn
0.338 0.070 0.408 Sn
0.662 0.930 0.592 Sn
0.930 0.338 0.268 Sn
```



# 3
The following is a PBE-GGA calculation of crystalline Li3Ag3Sn at its relaxed geometry, from Alexandria via LeMat-Bulk.

Properties
The density of states at the Fermi level comes out at 11.18 states/eV/cell. Its symmetry is No. 198. The uncorrected energy comes out at -2.77 eV/atom. The calculation puts the formation energy at -0.154 eV per atom.

```
Li3Ag3Sn
1.0
7.978 0.000 0.000
0.000 7.978 0.000
0.000 0.000 7.978
Li Ag Sn
12 12 4
direct
0.032 0.308 0.872 Li
0.128 0.532 0.192 Li
0.192 0.128 0.532 Li
0.308 0.872 0.032 Li
0.372 0.468 0.692 Li
0.468 0.692 0.372 Li
0.532 0.192 0.128 Li
0.628 0.968 0.808 Li
0.692 0.372 0.468 Li
0.808 0.628 0.968 Li
0.872 0.032 0.308 Li
0.968 0.808 0.628 Li
0.132 0.632 0.868 Ag
0.153 0.847 0.347 Ag
0.163 0.163 0.163 Ag
0.337 0.837 0.663 Ag
0.347 0.153 0.847 Ag
0.368 0.368 0.368 Ag
0.632 0.868 0.132 Ag
0.653 0.653 0.653 Ag
0.663 0.337 0.837 Ag
0.837 0.663 0.337 Ag
0.847 0.347 0.153 Ag
0.868 0.132 0.632 Ag
0.044 0.456 0.544 Sn
0.456 0.544 0.044 Sn
0.544 0.044 0.456 Sn
0.956 0.956 0.956 Sn
```



# 4
The following is a PBE-GGA calculation of crystalline Li4Ag2Sn at its relaxed geometry, from Alexandria via LeMat-Bulk.

Properties
The density of states at the Fermi level comes out at 2.77 states/eV/cell. Its symmetry is No. 71. The uncorrected energy comes out at -2.72 eV/atom. The calculation puts the formation energy at -0.243 eV per atom.

```
Li4Ag2Sn
1.0
-1.475 2.236 9.137
1.475 -2.236 9.137
1.475 2.236 -9.137
Li Ag Sn
4 2 1
direct
0.071 0.071 0.000 Li
0.354 0.854 0.500 Li
0.646 0.146 0.500 Li
0.929 0.929 0.000 Li
0.208 0.708 0.500 Ag
0.792 0.292 0.500 Ag
0.500 0.500 0.000 Sn
```